! TmTlZnS3, optimized geometry, DFT GGA-PBE; values from VASP
&SYSTEM
  ibrav = 0, nat = 12, ntyp = 4
/
ATOMIC_SPECIES
Tm 168.93 Tm.upf
Tl 204.38 Tl.upf
Zn 65.41 Zn.upf
S 32.06 S.upf
CELL_PARAMETERS angstrom
8.0279 0.0000 0.0000
0.0000 3.9344 0.0000
-3.5372 0.0000 9.6401
ATOMIC_POSITIONS crystal
Tm 0.1881 0.2500 0.1381
Tm 0.8119 0.7500 0.8619
Tl 0.2264 0.7500 0.7158
Tl 0.7736 0.2500 0.2842
Zn 0.4237 0.7500 0.3912
Zn 0.5763 0.2500 0.6088
S 0.0456 0.2500 0.8637
S 0.2800 0.2500 0.4341
S 0.4283 0.7500 0.1670
S 0.5717 0.2500 0.8330
S 0.7200 0.7500 0.5659
S 0.9544 0.7500 0.1363
! - distance to the lowest polymorph of the same formula (eV per atom) = 0.020